1.
Li2ZnHg | GGA-PBE | optimized geometry

a b c (Å): 3.0434 3.0434 27.7868
angles (deg): 90.00 90.00 120.00
With the nearest neighbours (Å) after each atom.
Space group R-3m (No. 166, hexagonal axes)
Symmetry-distinct sites (fractional):
Li1 0.0000 0.0000 0.2477 (multiplicity 6)  3 Zn 2.86, 3 Hg 2.96, 6 Li 3.04
Zn1 0.0000 0.0000 0.5000 (multiplicity 3)  6 Li 2.86, 6 Zn 3.04
Hg1 0.0000 0.0000 0.0000 (multiplicity 3)  6 Li 2.96, 6 Hg 3.04

2.
LiZn2Hg | GGA-PBE | optimized geometry

a b c (Å): 9.3125 3.0675 4.8418
angles (deg): 90.00 100.24 90.00
With the nearest neighbours (Å) after each atom.
Space group C2/m (No. 12)
Symmetry-distinct sites (fractional):
Li1 0.0000 0.0000 0.0000 (multiplicity 2)  6 Zn 2.80-2.81, 4 Hg 2.87, 2 Li 3.07
Zn1 0.2438 0.5000 0.2306 (multiplicity 4)  4 Zn 2.73-3.01, 3 Li 2.80-2.81, 3 Hg 2.81-2.94
Hg1 0.0000 0.5000 0.5000 (multiplicity 2)  6 Zn 2.81-2.94, 4 Li 2.87, 2 Hg 3.07

3.
LiZn2Hg | GGA-PBE | optimized geometry

a b c (Å): 5.4332 8.2381 3.2046
angles (deg): 90.00 90.00 90.00
With the nearest neighbours (Å) after each atom.
Space group Cmmm (No. 65)
Symmetry-distinct sites (fractional):
Li1 0.0000 0.0000 0.0000 (multiplicity 2)  2 Hg 2.72, 8 Zn 2.94
Zn1 0.2500 0.2500 0.5000 (multiplicity 4)  2 Zn 2.72, 4 Hg 2.94, 4 Li 2.94
Hg1 0.0000 0.5000 0.0000 (multiplicity 2)  2 Li 2.72, 8 Zn 2.94

4.
Li11Zn4Hg9 | GGA-PBE | optimized geometry

a b c (Å): 13.4474 19.1346 3.3457
angles (deg): 90.00 90.00 90.00
With the nearest neighbours (Å) after each atom.
Space group Cmmm (No. 65)
Symmetry-distinct sites (fractional):
Li1 0.0000 0.0000 0.0000 (multiplicity 2)  8 Hg 2.88, 2 Li 3.20
Li2 0.0000 0.1752 0.0000 (multiplicity 4)  8 Hg 2.87-2.89, 2 Li 3.13
Li3 0.0000 0.3643 0.0000 (multiplicity 4)  4 Zn 2.86, 6 Hg 2.98-3.09
Li4 0.2329 0.1743 0.0000 (multiplicity 8)  2 Zn 2.76, 6 Hg 2.79-2.87, 1 Li 2.93
Li5 0.2377 0.0000 0.0000 (multiplicity 4)  4 Zn 2.75, 4 Hg 2.85
Zn1 0.1593 0.4116 0.5000 (multiplicity 8)  3 Hg 2.73-2.95, 6 Li 2.75-2.86
Hg1 0.0000 0.5000 0.5000 (multiplicity 2)  4 Zn 2.73
Hg2 0.1182 0.2661 0.5000 (multiplicity 8)  1 Zn 2.84, 8 Li 2.85-2.98, 1 Hg 3.18
Hg3 0.1210 0.0880 0.5000 (multiplicity 8)  8 Li 2.79-2.88, 1 Zn 2.95

5.
Li14ZnHg | GGA-PBE | optimized geometry

a b c (Å): 6.0124 6.0124 8.2210
angles (deg): 90.00 90.00 90.00
With the nearest neighbours (Å) after each atom.
Space group P4/mmm (No. 123)
Symmetry-distinct sites (fractional):
Li1 0.0000 0.0000 0.0000 (multiplicity 1)  12 Li 3.01-3.05
Li2 0.0000 0.5000 0.0000 (multiplicity 2)  12 Li 3.01-3.06
Li3 0.0000 0.5000 0.5000 (multiplicity 2)  8 Li 2.85, 2 Hg 3.01, 2 Zn 3.01
Li4 0.2481 0.2481 0.2682 (multiplicity 8)  1 Zn 2.84, 10 Li 2.85-3.07, 1 Hg 2.87
Li5 0.5000 0.5000 0.0000 (multiplicity 1)  12 Li 3.01-3.07
Zn1 0.0000 0.0000 0.5000 (multiplicity 1)  12 Li 2.84-3.01
Hg1 0.5000 0.5000 0.5000 (multiplicity 1)  12 Li 2.87-3.01

6.
Li3ZnHg4 | GGA-PBE | optimized geometry

a b c (Å): 9.3758 6.8066 4.6885
angles (deg): 90.00 90.00 90.00
With the nearest neighbours (Å) after each atom.
Space group Pmma (No. 51)
Symmetry-distinct sites (fractional):
Li1 0.0000 0.0000 0.0000 (multiplicity 2)  8 Hg 2.88
Li2 0.2500 0.0000 0.4992 (multiplicity 2)  8 Hg 2.88
Li3 0.2500 0.5000 0.4988 (multiplicity 2)  8 Hg 2.91
Zn1 0.0000 0.5000 0.0000 (multiplicity 2)  8 Hg 2.91
Hg1 0.0000 0.2462 0.5000 (multiplicity 4)  6 Li 2.88-2.91, 2 Zn 2.91
Hg2 0.2500 0.2462 0.9992 (multiplicity 4)  6 Li 2.88-2.91, 2 Zn 2.91

7.
Li3ZnHg | GGA-PBE | optimized geometry

a b c (Å): 13.9106 4.4562 5.6249
angles (deg): 90.00 105.85 90.00
With the nearest neighbours (Å) after each atom.
Space group C2/m (No. 12)
Symmetry-distinct sites (fractional):
Li1 0.9997 0.0000 0.2335 (multiplicity 4)  4 Li 2.63-2.78, 2 Hg 2.71, 1 Zn 2.78
Li2 0.0995 0.5000 0.6889 (multiplicity 4)  5 Li 2.72-2.99, 2 Hg 2.77-2.85, 3 Zn 2.79-3.02
Li3 0.1952 0.0000 0.5338 (multiplicity 4)  3 Hg 2.76-2.96, 2 Zn 2.76-2.87, 5 Li 2.78-2.85
Zn1 0.2014 0.0000 0.0287 (multiplicity 4)  2 Zn 2.67, 4 Li 2.76-2.87, 2 Hg 2.89
Hg1 0.1062 0.5000 0.2006 (multiplicity 4)  7 Li 2.71-2.96, 2 Zn 2.89

Computed properties:
**Offset from the most stable computed form**: 0.000 eV per atom

8.
Li3Zn2Hg | GGA-PBE | optimized geometry

a b c (Å): 6.5411 4.4083 6.8478
angles (deg): 90.00 104.25 90.00
With the nearest neighbours (Å) after each atom.
Space group P2_1/m (No. 11)
Symmetry-distinct sites (fractional):
Li1 0.0394 0.2500 0.1820 (multiplicity 2)  1 Zn 2.63, 4 Li 2.66-2.81, 3 Hg 2.76-2.77
Li2 0.2156 0.2500 0.8472 (multiplicity 2)  4 Zn 2.69-2.83, 4 Li 2.74-2.81
Li3 0.3670 0.2500 0.5008 (multiplicity 2)  4 Li 2.66-2.81, 3 Zn 2.74-2.76, 1 Hg 2.80
Zn1 0.1112 0.7500 0.4951 (multiplicity 2)  4 Li 2.63-2.76, 3 Zn 2.64-2.65, 1 Hg 2.80
Zn2 0.4385 0.7500 0.8103 (multiplicity 2)  1 Zn 2.64, 4 Li 2.69-2.83, 3 Hg 2.82
Hg1 0.2879 0.7500 0.1623 (multiplicity 2)  6 Li 2.76-3.04, 4 Zn 2.80-2.82

9.
Li6ZnHg3 | GGA-PBE | optimized geometry

a b c (Å): 7.8085 4.7249 10.0489
angles (deg): 90.00 109.86 90.00
With the nearest neighbours (Å) after each atom.
Space group P2_1/m (No. 11)
Symmetry-distinct sites (fractional):
Li1 0.0327 0.2500 0.4134 (multiplicity 2)  7 Hg 2.82-2.96, 4 Li 2.87-3.08
Li2 0.1527 0.7500 0.1840 (multiplicity 2)  5 Hg 2.79-2.90, 1 Zn 2.87, 4 Li 2.88-3.10
Li3 0.2526 0.2500 0.0105 (multiplicity 2)  3 Zn 2.74-2.80, 4 Hg 2.84-2.87, 2 Li 2.95-2.99
Li4 0.3421 0.2500 0.3202 (multiplicity 2)  8 Li 2.85-2.95, 4 Hg 2.95-3.07
Li5 0.3592 0.7500 0.7957 (multiplicity 2)  3 Zn 2.72-2.82, 4 Hg 2.83-2.95, 2 Li 2.94-2.99
Li6 0.4418 0.2500 0.6226 (multiplicity 2)  4 Hg 2.71-2.82, 1 Zn 2.79, 3 Li 2.85-2.87
Zn1 0.4556 0.7500 0.0829 (multiplicity 2)  8 Li 2.72-2.87
Hg1 0.0503 0.7500 0.8895 (multiplicity 2)  9 Li 2.79-3.07, 1 Zn 3.10
Hg2 0.1511 0.2500 0.7111 (multiplicity 2)  8 Li 2.71-2.90
Hg3 0.2764 0.7500 0.4862 (multiplicity 2)  11 Li 2.77-3.03

10.
Li8Zn3Hg3 | GGA-PBE | optimized geometry

a b c (Å): 4.1686 10.2777 11.3746
angles (deg): 90.00 90.00 90.00
With the nearest neighbours (Å) after each atom.
Space group Immm (No. 71)
Symmetry-distinct sites (fractional):
Li1 0.0000 0.1257 0.1242 (multiplicity 8)  5 Li 2.58-2.82, 1 Zn 2.73, 2 Hg 2.83
Li2 0.0000 0.2040 0.3566 (multiplicity 8)  3 Zn 2.66-2.71, 3 Li 2.73-2.76
Zn1 0.0000 0.0000 0.5000 (multiplicity 2)  4 Zn 2.57, 4 Li 2.66
Zn2 0.0000 0.3531 0.0000 (multiplicity 4)  2 Zn 2.57, 6 Li 2.71-2.73
Hg1 0.0000 0.5000 0.2214 (multiplicity 4)  4 Zn 2.94-3.27, 8 Li 3.02-3.09, 1 Hg 3.17
Hg2 0.0000 0.5000 0.5000 (multiplicity 2)  8 Li 2.83, 2 Hg 3.17

11.
LiZn2Hg | GGA-PBE | optimized geometry

a b c (Å): 3.1957 3.1957 25.5192
angles (deg): 90.00 90.00 120.00
With the nearest neighbours (Å) after each atom.
Space group R3m (No. 160, hexagonal axes)
Symmetry-distinct sites (fractional):
Li1 0.0000 0.0000 0.0000 (multiplicity 3)  3 Zn 2.79, 3 Hg 2.87
Zn1 0.0000 0.0000 0.4899 (multiplicity 3)  3 Zn 2.65, 3 Hg 2.95
Zn2 0.0000 0.0000 0.7489 (multiplicity 3)  3 Zn 2.65, 3 Li 2.79
Hg1 0.0000 0.0000 0.2470 (multiplicity 3)  3 Li 2.87, 3 Zn 2.95, 6 Hg 3.20

12.
Li2ZnHg4 | GGA-PBE | optimized geometry

a b c (Å): 6.5147 6.5147 6.8236
angles (deg): 90.00 90.00 90.00
With the nearest neighbours (Å) after each atom.
Space group I4/mmm (No. 139)
Symmetry-distinct sites (fractional):
Li1 0.0000 0.5000 0.0000 (multiplicity 4)  8 Hg 2.87
Zn1 0.0000 0.0000 0.0000 (multiplicity 2)  8 Hg 2.87
Hg1 0.2500 0.2500 0.2500 (multiplicity 8)  2 Zn 2.87, 4 Li 2.87

Computed properties:
**Offset from the most stable computed form**: 0.000 eV per atom

13.
LiZnHg | GGA-PBE | optimized geometry

a b c (Å): 9.9619 4.6034 5.8437
angles (deg): 90.00 125.01 90.00
With the nearest neighbours (Å) after each atom.
Space group C2/m (No. 12)
Symmetry-distinct sites (fractional):
Li1 0.0006 0.0000 0.2492 (multiplicity 4)  2 Li 2.91-2.94, 6 Hg 2.99-3.10, 6 Zn 3.00-3.20
Zn1 0.1542 0.5000 0.6540 (multiplicity 4)  1 Zn 2.52, 2 Hg 2.68
Hg1 0.1781 0.5000 0.1778 (multiplicity 4)  4 Zn 2.68-2.93, 1 Hg 2.91, 1 Li 2.99

Computed properties:
**Offset from the most stable computed form**: 0.000 eV per atom

14.
Li2ZnHg | GGA-PBE | optimized geometry

a b c (Å): 3.3469 3.3469 6.2267
angles (deg): 90.00 90.00 90.00
With the nearest neighbours (Å) after each atom.
Space group P4mm (No. 99)
Symmetry-distinct sites (fractional):
Li1 0.0000 0.0000 0.0000 (multiplicity 1)  4 Hg 2.78, 4 Li 2.88, 1 Zn 2.97
Li2 0.5000 0.5000 0.2646 (multiplicity 1)  4 Zn 2.71, 4 Li 2.88
Zn1 0.0000 0.0000 0.4770 (multiplicity 1)  5 Li 2.71-2.97, 4 Hg 2.97
Hg1 0.5000 0.5000 0.7651 (multiplicity 1)  5 Li 2.78-3.11, 4 Zn 2.97

15.
LiZnHg | GGA-PBE | optimized geometry

a b c (Å): 3.4730 3.4730 8.7033
angles (deg): 90.00 90.00 90.00
With the nearest neighbours (Å) after each atom.
Space group I4mm (No. 107)
Symmetry-distinct sites (fractional):
Li1 0.0000 0.0000 0.0000 (multiplicity 2)  5 Zn 2.81-2.99, 5 Hg 2.85-2.90
Zn1 0.0000 0.0000 0.3440 (multiplicity 2)  5 Hg 2.81-2.90, 5 Li 2.81-2.99
Hg1 0.0000 0.0000 0.6664 (multiplicity 2)  5 Zn 2.81-2.90, 5 Li 2.85-2.90

Computed properties:
**Offset from the most stable computed form**: 0.003 eV per atom

16.
LiZn2Hg | GGA-PBE | optimized geometry

a b c (Å): 8.9665 3.1405 5.0777
angles (deg): 90.00 100.26 90.00
With the nearest neighbours (Å) after each atom.
Space group Cm (No. 8)
Symmetry-distinct sites (fractional):
Li1 0.0000 0.0000 0.0000 (multiplicity 2)  3 Hg 2.74-2.82, 5 Zn 2.81-2.86
Zn1 0.0087 0.5000 0.5416 (multiplicity 2)  3 Zn 2.67-2.72, 2 Li 2.82, 1 Hg 2.87
Zn2 0.2512 0.0000 0.7382 (multiplicity 2)  3 Zn 2.67-2.72, 3 Li 2.81-2.86, 4 Hg 2.98-2.99
Hg1 0.2491 0.5000 0.2378 (multiplicity 2)  3 Li 2.74-2.82, 7 Zn 2.87-3.00

17.
Li4ZnHg | GGA-PBE | optimized geometry

a b c (Å): 7.2990 7.2990 7.2990
angles (deg): 90.00 90.00 90.00
With the nearest neighbours (Å) after each atom.
Space group F-43m (No. 216)
Symmetry-distinct sites (fractional):
Li1 0.1250 0.1250 0.1250 (multiplicity 16)  6 Li 2.58
Zn1 0.2500 0.2500 0.7500 (multiplicity 4)  12 Li 3.03, 4 Hg 3.16
Hg1 0.0000 0.0000 0.5000 (multiplicity 4)  12 Li 3.03, 4 Zn 3.16

Computed properties:
**Offset from the most stable computed form**: 0.161 eV per atom

18.
LiZnHg4 | GGA-PBE | optimized geometry

a b c (Å): 8.5472 8.5472 8.5472
angles (deg): 90.00 90.00 90.00
With the nearest neighbours (Å) after each atom.
Space group F-43m (No. 216)
Symmetry-distinct sites (fractional):
Li1 0.0000 0.0000 0.0000 (multiplicity 4)  12 Hg 3.54, 4 Zn 3.70
Zn1 0.2500 0.2500 0.7500 (multiplicity 4)  12 Hg 3.54, 4 Li 3.70
Hg1 0.1252 0.1252 0.3748 (multiplicity 16)  6 Hg 3.02-3.03

Computed properties:
**Offset from the most stable computed form**: 0.177 eV per atom

19.
Li12ZnHg3 | GGA-PBE | optimized geometry

a b c (Å): 4.2054 4.2054 15.8409
angles (deg): 90.00 90.00 90.00
With the nearest neighbours (Å) after each atom.
Space group P4/mmm (No. 123)
Symmetry-distinct sites (fractional):
Li1 0.0000 0.0000 0.0000 (multiplicity 1)  8 Li 2.85, 4 Zn 2.97
Li2 0.0000 0.0000 0.2472 (multiplicity 2)  8 Li 2.90, 4 Hg 2.97
Li3 0.0000 0.0000 0.5000 (multiplicity 1)  8 Li 2.90, 4 Hg 2.97
Li4 0.0000 0.5000 0.1214 (multiplicity 4)  2 Zn 2.85, 8 Li 2.85-2.97, 2 Hg 2.89
Li5 0.0000 0.5000 0.3735 (multiplicity 4)  8 Li 2.90-2.97, 4 Hg 2.90-2.91
Zn1 0.5000 0.5000 0.0000 (multiplicity 1)  12 Li 2.85-2.97
Hg1 0.5000 0.5000 0.2466 (multiplicity 2)  12 Li 2.89-2.97
Hg2 0.5000 0.5000 0.5000 (multiplicity 1)  12 Li 2.90-2.97

20.
Li6Zn5Hg | GGA-PBE | optimized geometry

a b c (Å): 8.8931 12.2203 3.8679
angles (deg): 90.00 115.60 90.00
With the nearest neighbours (Å) after each atom.
Space group C2/m (No. 12)
Symmetry-distinct sites (fractional):
Li1 0.2466 0.0000 0.2466 (multiplicity 4)  6 Zn 2.76-2.96, 2 Hg 2.80-2.81, 4 Li 2.81
Li2 0.2504 0.1672 0.7504 (multiplicity 8)  7 Zn 2.77-2.87, 4 Li 2.80-2.81, 1 Hg 2.86
Zn1 0.0000 0.0000 0.5000 (multiplicity 2)  8 Li 2.76-2.87, 4 Zn 2.79
Zn2 0.0000 0.1648 0.0000 (multiplicity 4)  4 Zn 2.74-2.79, 8 Li 2.78-2.87
Zn3 0.0000 0.3234 0.5000 (multiplicity 4)  2 Zn 2.74, 8 Li 2.77-2.96, 2 Hg 2.90
Hg1 0.0000 0.5000 0.0000 (multiplicity 2)  8 Li 2.80-2.86, 4 Zn 2.90

no.,energy of formation from the pure elements (eV/atom)
1,-0.14
2,-0.10
3,-0.05
4,-0.28
5,-0.09
6,-0.28
7,-0.22
8,-0.25
9,-0.28
10,-0.17
11,-0.01
12,-0.17
13,-0.20
14,-0.18
15,-0.20
16,-0.09
17,-0.05
18,0.12
19,-0.22
20,-0.18